[1]
# NaSm2PdO5, relaxed, DFT GGA-PBE
# * total energy: -121.101 eV for the cell shown
# * volume: 14.56 Å³ per atom
data_NaSm2PdO5
_chemical_formula_sum 'Na2 Sm4 Pd2 O10'
_cell_length_a 6.7046
_cell_length_b 6.7046
_cell_length_c 5.8308
_cell_angle_alpha 90.00
_cell_angle_beta 90.00
_cell_angle_gamma 90.00
_space_group_name_H-M_alt 'P 4/m b m'
_space_group_IT_number 127
_space_group_name_Hall '-P 4 2ab'
loop_
_atom_site_label
_atom_site_type_symbol
_atom_site_fract_x
_atom_site_fract_y
_atom_site_fract_z
Na1 Na 0.0000 0.0000 0.0000
Sm1 Sm 0.1742 0.3258 0.5000
Pd1 Pd 0.0000 0.5000 0.0000
O1 O 0.0000 0.0000 0.5000
O2 O 0.1377 0.6377 0.2554

***

[2]
# K2GaSiS4, relaxed, DFT GGA-PBE
# * total energy: -269.963 eV for the cell shown
# * volume: 29.20 Å³ per atom
data_K2GaSiS4
_chemical_formula_sum 'K16 Ga8 Si8 S32'
_cell_length_a 6.0156
_cell_length_b 13.2069
_cell_length_c 23.5245
_cell_angle_alpha 90.00
_cell_angle_beta 90.00
_cell_angle_gamma 90.00
_space_group_name_H-M_alt 'F d d d'
_space_group_IT_number 70
loop_
_space_group_symop_operation_xyz
'x,y,z'
'-x,-y,-z'
'-x+1/4,-y+1/4,z'
'x+1/4,y+1/4,-z'
'x,-y+1/4,-z+1/4'
'-x,y+1/4,z+1/4'
'-x+1/4,y,-z+1/4'
'x+1/4,-y,z+1/4'
'x,y+1/2,z+1/2'
'-x,-y+1/2,-z+1/2'
'-x+1/4,-y+3/4,z+1/2'
'x+1/4,y+3/4,-z+1/2'
'x,-y+3/4,-z+3/4'
'-x,y+3/4,z+3/4'
'-x+1/4,y+1/2,-z+3/4'
'x+1/4,-y+1/2,z+3/4'
'x+1/2,y,z+1/2'
'-x+1/2,-y,-z+1/2'
'-x+3/4,-y+1/4,z+1/2'
'x+3/4,y+1/4,-z+1/2'
'x+1/2,-y+1/4,-z+3/4'
'-x+1/2,y+1/4,z+3/4'
'-x+3/4,y,-z+3/4'
'x+3/4,-y,z+3/4'
'x+1/2,y+1/2,z'
'-x+1/2,-y+1/2,-z'
'-x+3/4,-y+3/4,z'
'x+3/4,y+3/4,-z'
'x+1/2,-y+3/4,-z+1/4'
'-x+1/2,y+3/4,z+1/4'
'-x+3/4,y+1/2,-z+1/4'
'x+3/4,-y+1/2,z+1/4'
loop_
_atom_site_label
_atom_site_type_symbol
_atom_site_fract_x
_atom_site_fract_y
_atom_site_fract_z
K1 K 0.1250 0.1250 0.3074
Ga1 Ga 0.1250 0.1250 0.1250
Si1 Si 0.1250 0.1250 0.6250
S1 S 0.0844 0.2790 0.8242

***

[3]
# YHfPd2, relaxed, DFT GGA-PBE
# * formation energy from the elements: -0.33 eV/atom
# * offset from the most stable computed form: 0.4189 eV/atom
# * volume: 21.56 Å³ per atom
data_YHfPd2
_chemical_formula_sum 'Y4 Hf4 Pd8'
_cell_length_a 7.5025
_cell_length_b 7.5025
_cell_length_c 6.1285
_cell_angle_alpha 90.00
_cell_angle_beta 90.00
_cell_angle_gamma 90.00
_space_group_name_H-M_alt 'I -4 2 d'
_space_group_IT_number 122
_space_group_name_Hall 'I -4 2bw'
loop_
_atom_site_label
_atom_site_type_symbol
_atom_site_fract_x
_atom_site_fract_y
_atom_site_fract_z
Y1 Y 0.0000 0.0000 0.0000
Hf1 Hf 0.0000 0.0000 0.5000
Pd1 Pd 0.2229 0.2500 0.6250

***

[4]
# Pa8ReGe2, relaxed, DFT GGA-PBE
# * formation energy from the elements: -0.10 eV/atom
# * volume: 22.97 Å³ per atom
data_Pa8ReGe2
_chemical_formula_sum 'Pa16 Re2 Ge4'
_cell_length_a 14.8526
_cell_length_b 5.1066
_cell_length_c 7.4086
_cell_angle_alpha 90.00
_cell_angle_beta 115.94
_cell_angle_gamma 90.00
_space_group_name_H-M_alt 'C 1 2/m 1'
_space_group_IT_number 12
_space_group_name_Hall '-C 2y'
loop_
_atom_site_label
_atom_site_type_symbol
_atom_site_fract_x
_atom_site_fract_y
_atom_site_fract_z
Pa1 Pa 0.0111 0.0000 0.2773
Pa2 Pa 0.0871 0.5000 0.9229
Pa3 Pa 0.1694 0.5000 0.4052
Pa4 Pa 0.1819 0.0000 0.7421
Re1 Re 0.0000 0.5000 0.5000
Ge1 Ge 0.1840 0.0000 0.1521

***

[5]
# RbSn2P2S7, relaxed, DFT GGA-PBE
# * total energy: -160.744 eV for the cell shown
# * volume: 30.95 Å³ per atom
data_RbSn2P2S7
_chemical_formula_sum 'Rb3 Sn6 P6 S21'
_cell_length_a 6.3130
_cell_length_b 6.3130
_cell_length_c 32.2813
_cell_angle_alpha 90.00
_cell_angle_beta 90.00
_cell_angle_gamma 120.00
_space_group_name_H-M_alt 'R 3 2'
_space_group_IT_number 155
_space_group_name_Hall 'R 3 2"'
loop_
_atom_site_label
_atom_site_type_symbol
_atom_site_fract_x
_atom_site_fract_y
_atom_site_fract_z
Rb1 Rb 0.0000 0.0000 0.0000
Sn1 Sn 0.0000 0.0000 0.2053
P1 P 0.0000 0.0000 0.4302
S1 S 0.0000 0.0000 0.5000
S2 S 0.0057 0.3884 0.0745

***

[6]
# SmScTe3, relaxed, DFT GGA-PBE
# * offset from the most stable computed form: 0.0347 eV/atom
# * volume: 34.23 Å³ per atom
data_SmScTe3
_chemical_formula_sum 'Sm4 Sc4 Te12'
_cell_length_a 9.8360
_cell_length_b 8.3001
_cell_length_c 9.3878
_cell_angle_alpha 90.00
_cell_angle_beta 116.72
_cell_angle_gamma 90.00
_space_group_name_H-M_alt 'P 1 21/c 1'
_space_group_IT_number 14
_space_group_name_Hall '-P 2ybc'
loop_
_atom_site_label
_atom_site_type_symbol
_atom_site_fract_x
_atom_site_fract_y
_atom_site_fract_z
Sm1 Sm 0.1092 0.2094 0.0525
Sc1 Sc 0.3105 0.6105 0.9218
Te1 Te 0.0028 0.0055 0.7044
Te2 Te 0.2535 0.6466 0.6057
Te3 Te 0.3760 0.2245 0.4439

***

[7]
# NaSc3Cr, relaxed, DFT GGA-PBE
# * formation energy from the elements: 0.46 eV/atom
# * offset from the most stable computed form: 0.0000 eV/atom
# * volume: 25.07 Å³ per atom
data_NaSc3Cr
_chemical_formula_sum 'Na1 Sc3 Cr1'
_cell_length_a 5.0049
_cell_length_b 5.0049
_cell_length_c 5.0049
_cell_angle_alpha 90.00
_cell_angle_beta 90.00
_cell_angle_gamma 90.00
_space_group_name_H-M_alt 'P m -3 m'
_space_group_IT_number 221
_space_group_name_Hall '-P 4 2 3'
loop_
_atom_site_label
_atom_site_type_symbol
_atom_site_fract_x
_atom_site_fract_y
_atom_site_fract_z
Na1 Na 0.0000 0.0000 0.0000
Sc1 Sc 0.0000 0.5000 0.5000
Cr1 Cr 0.5000 0.5000 0.5000

***

[8]
# Tl2VPdBr, relaxed, DFT GGA-PBE
# * total energy: -17.981 eV for the cell shown
# * volume: 28.77 Å³ per atom
data_Tl2VPdBr
_chemical_formula_sum 'Tl2 V1 Pd1 Br1'
_cell_length_a 5.5036
_cell_length_b 5.5036
_cell_length_c 4.7498
_cell_angle_alpha 90.00
_cell_angle_beta 90.00
_cell_angle_gamma 90.00
_space_group_name_H-M_alt 'P 4/m m m'
_space_group_IT_number 123
_space_group_name_Hall '-P 4 2'
loop_
_atom_site_label
_atom_site_type_symbol
_atom_site_fract_x
_atom_site_fract_y
_atom_site_fract_z
Tl1 Tl 0.0000 0.5000 0.0000
V1 V 0.0000 0.0000 0.0000
Pd1 Pd 0.5000 0.5000 0.5000
Br1 Br 0.0000 0.0000 0.5000